No. 1
Compound: ZnInRuBr2
Source: Alexandria
Functional: PBEsol
Structure: optimized geometry

Cell: 4.9494 5.6179 5.6179 Å, 90.00 90.00 90.00°
Closest atoms and distances in Å follow each position.
Fractional positions:
In1 0.0000 0.0000 0.0000  2 Zn 2.47
Br1 0.0000 0.5000 0.0000  2 In 2.81
Br2 0.0000 0.0000 0.5000  2 In 2.81
Zn1 0.5000 0.0000 0.0000  2 In 2.47
Ru1 0.5000 0.5000 0.5000  8 Br 3.74, 4 Zn 3.97

Output
**Formation energy from raw total energies**: 1111 meV/atom
**E_tot**: -2.58 eV/atom
**Crystal system**: tetragonal
**ρ**: 4.7 g/cm³
**Total moment**: 0.636 μB per atom

---

No. 2
Compound: InSBr2
Source: Alexandria
Functional: PBEsol
Structure: optimized geometry

Cell: 5.0536 5.0536 5.0536 Å, 60.00 60.00 60.00°
Closest atoms and distances in Å follow each position.
Fractional positions:
Br1 0.2500 0.2500 0.2500  4 S 3.09, 4 In 3.09
Br2 0.7500 0.7500 0.7500  4 S 3.09, 4 In 3.09
In1 0.5000 0.5000 0.5000  8 Br 3.09
S1 0.0000 0.0000 0.0000  8 Br 3.09

Output
**ΔE to the lowest computed polymorph**: 134 kJ/mol of formula units
**Formation energy from raw total energies**: 227 meV/atom
**E_tot**: -2.55 eV/atom
**Crystal system**: cubic
**ρ**: 5.6 g/cm³
**Total moment**: 0.359 μB per atom

---

No. 3
Compound: In5S5Br
Source: Alexandria
Functional: PBEsol
Structure: optimized geometry

Cell: 3.9236 9.0188 14.7007 Å, 90.00 90.00 90.00°
Closest atoms and distances in Å follow each position.
Fractional positions:
S1 0.5000 0.7034 0.3620  4 In 2.55-2.65
S2 0.0000 0.7728 0.5685  3 In 2.55-2.63
S3 0.5000 0.0642 0.4557  3 In 2.55-2.63
S4 0.0000 0.2966 0.8620  4 In 2.55-2.65
S5 0.5000 0.9741 0.7481  3 In 2.55-2.61
S6 0.0000 0.5754 0.1612  3 In 2.54-2.55
S7 0.0000 0.0259 0.2481  3 In 2.55-2.61
S8 0.5000 0.2272 0.0685  3 In 2.55-2.63
S9 0.5000 0.4246 0.6612  3 In 2.54-2.55
S10 0.0000 0.9358 0.9557  3 In 2.55-2.63
In1 0.5000 0.8613 0.1091  7 S 3.06-3.35, 1 Br 3.26
In2 0.5000 0.1114 0.9041  6 S 2.61-2.65
In3 0.0000 0.1387 0.6091  7 S 3.06-3.35, 1 Br 3.26
In4 0.5000 0.4812 0.2550  3 S 2.54-2.55, 1 In 2.74
In5 0.0000 0.5188 0.7550  3 S 2.54-2.55, 1 In 2.74
In6 0.0000 0.8141 0.7991  3 S 2.55, 1 In 2.74
In7 0.0000 0.8886 0.4041  6 S 2.61-2.65
In8 0.5000 0.1859 0.2991  3 S 2.55, 1 In 2.74
In9 0.5000 0.6047 0.5275  4 S 2.55-2.59
In10 0.0000 0.3953 0.0275  4 S 2.55-2.59
Br1 0.5000 0.5987 0.9564  2 In 2.88
Br2 0.0000 0.4013 0.4564  2 In 2.88

Output
**Formation energy from raw total energies**: -575 meV/atom
**E_tot**: -4.09 eV/atom
**Crystal system**: orthorhombic
**ρ**: 5.2 g/cm³
**Total moment**: 0.000 μB per atom

---

No. 4
Compound: InSBr2
Source: Alexandria
Functional: PBEsol
Structure: optimized geometry

Cell: 4.9946 7.3611 7.3611 Å, 83.39 70.17 70.17°
Closest atoms and distances in Å follow each position.
Fractional positions:
Br1 0.3750 0.6389 0.8611  2 In 2.75
Br2 0.9861 0.1389 0.6389  2 In 2.75
Br3 0.8750 0.3611 0.1389  2 In 2.75
Br4 0.7639 0.8611 0.3611  2 In 2.75
In1 0.0000 0.0000 0.0000  2 S 2.50, 4 Br 2.75
In2 0.7500 0.5000 0.5000  2 S 2.50, 4 Br 2.75
S1 0.5000 0.0000 0.0000  2 In 2.50
S2 0.2500 0.5000 0.5000  2 In 2.50

Output
**ΔE to the lowest computed polymorph**: 0 kJ/mol of formula units
**Formation energy from raw total energies**: -120 meV/atom
**E_tot**: -2.90 eV/atom
**Crystal system**: tetragonal
**ρ**: 4.3 g/cm³
**Total moment**: 0.253 μB per atom

---

No. 5
Compound: InSBr2
Source: Alexandria
Functional: PBEsol
Structure: optimized geometry

Cell: 3.3363 3.3363 9.8901 Å, 80.29 80.29 60.00°
Closest atoms and distances in Å follow each position.
Fractional positions:
S1 0.5000 0.5000 0.5000  6 Br 2.86
Br1 0.9062 0.9062 0.2814  1 In 2.73, 3 S 2.86
Br2 0.0938 0.0938 0.7186  1 In 2.73, 3 S 2.86
In1 0.0000 0.0000 0.0000  2 Br 2.73

Output
**ΔE to the lowest computed polymorph**: 200 kJ/mol of formula units
**Formation energy from raw total energies**: 399 meV/atom
**E_tot**: -2.38 eV/atom
**Crystal system**: trigonal
**ρ**: 5.4 g/cm³
**Total moment**: 0.000 μB per atom

---

No. 6
Compound: InSb3Br
Source: Alexandria
Functional: PBEsol
Structure: optimized geometry

Cell: 5.5075 5.5075 5.5075 Å, 90.00 90.00 90.00°
Closest atoms and distances in Å follow each position.
Fractional positions:
In1 0.5000 0.5000 0.5000  12 Sb 3.89
Sb1 0.0000 0.5000 0.0000  2 Br 2.75
Sb2 0.5000 0.0000 0.0000  2 Br 2.75
Sb3 0.0000 0.0000 0.5000  2 Br 2.75
Br1 0.0000 0.0000 0.0000  6 Sb 2.75

Output
**Formation energy from raw total energies**: 811 meV/atom
**E_tot**: -2.89 eV/atom
**Crystal system**: cubic
**ρ**: 5.6 g/cm³
**Total moment**: 0.000 μB per atom

---

No. 7
Compound: InSb2Br
Source: Alexandria
Functional: PBEsol
Structure: optimized geometry

Cell: 5.2717 5.2717 5.2717 Å, 60.00 60.00 60.00°
Closest atoms and distances in Å follow each position.
Fractional positions:
In1 0.2500 0.2500 0.2500  4 Sb 3.23, 4 Br 3.23
Br1 0.5000 0.5000 0.5000  4 In 3.23, 4 Sb 3.23
Sb1 0.7500 0.7500 0.7500  4 Br 3.23, 4 Sb 3.23
Sb2 0.0000 0.0000 0.0000  4 Sb 3.23, 4 In 3.23

Output
**ΔE to the lowest computed polymorph**: 0 kJ/mol of formula units
**Formation energy from raw total energies**: -48 meV/atom
**E_tot**: -3.54 eV/atom
**Crystal system**: cubic
**ρ**: 7.0 g/cm³
**Total moment**: 0.000 μB per atom

---

No. 8
Compound: In2Sb2Br
Source: Alexandria
Functional: PBEsol
Structure: optimized geometry

Cell: 5.4702 6.2183 5.4702 Å, 63.91 90.00 116.09°
Closest atoms and distances in Å follow each position.
Fractional positions:
In1 0.7500 0.5000 0.7500  4 Sb 2.93
In2 0.2500 0.5000 0.2500  4 Sb 2.93
Br1 0.0000 0.0000 0.0000  2 Sb 3.48, 8 In 3.66
Sb1 0.6431 0.2863 0.3569  1 Sb 2.79, 4 In 2.93
Sb2 0.3569 0.7137 0.6431  1 Sb 2.79, 4 In 2.93

Output
**Formation energy from raw total energies**: -199 meV/atom
**E_tot**: -3.59 eV/atom
**Crystal system**: tetragonal
**ρ**: 6.3 g/cm³
**Total moment**: 0.000 μB per atom

---

No. 9
Compound: InSb2Br
Source: Alexandria
Functional: PBEsol
Structure: optimized geometry

Cell: 3.3550 5.5355 5.5355 Å, 90.00 90.00 90.00°
Closest atoms and distances in Å follow each position.
Fractional positions:
Br1 0.5000 0.5000 0.5000  8 Sb 3.24, 2 Br 3.35
In1 0.5000 0.0000 0.0000  8 Sb 3.24, 2 In 3.35
Sb1 0.0000 0.5000 0.0000  4 Br 3.24, 4 In 3.24, 2 Sb 3.35
Sb2 0.0000 0.0000 0.5000  4 In 3.24, 4 Br 3.24, 2 Sb 3.35

Output
**ΔE to the lowest computed polymorph**: 60 kJ/mol of formula units
**Formation energy from raw total energies**: 106 meV/atom
**E_tot**: -3.39 eV/atom
**Crystal system**: tetragonal
**ρ**: 7.1 g/cm³
**Total moment**: 0.000 μB per atom

---

No. 10
Compound: InSbBr
Source: Alexandria
Functional: PBEsol
Structure: optimized geometry

Cell: 3.4313 3.4313 7.3712 Å, 99.52 99.52 106.84°
Closest atoms and distances in Å follow each position.
Fractional positions:
Br1 0.0187 0.0187 0.0375  2 In 2.89
Sb1 0.3188 0.3188 0.6377  2 In 3.01
In1 0.6624 0.6624 0.3249  2 Br 2.89, 2 Sb 3.01

Output
**Formation energy from raw total energies**: -85 meV/atom
**E_tot**: -3.22 eV/atom
**Crystal system**: orthorhombic
**ρ**: 6.6 g/cm³
**Total moment**: 0.000 μB per atom

---

No. 11
Compound: ScInBr
Source: Alexandria
Functional: PBEsol
Structure: optimized geometry

Cell: 3.2916 3.2916 7.2470 Å, 103.13 103.13 90.00°
Closest atoms and distances in Å follow each position.
Fractional positions:
In1 0.6969 0.6969 0.3938  4 Sc 3.09, 4 In 3.29
Sc1 0.3445 0.3445 0.6890  4 Br 2.81, 4 In 3.09
Br1 0.9586 0.9586 0.9173  4 Sc 2.81

Output
**Formation energy from raw total energies**: -648 meV/atom
**E_tot**: -4.47 eV/atom
**Crystal system**: tetragonal
**ρ**: 5.4 g/cm³
**Total moment**: 0.001 μB per atom

---

No. 12
Compound: ScIn2Br
Source: Alexandria
Functional: PBEsol
Structure: optimized geometry

Cell: 3.2748 5.5974 6.2248 Å, 116.72 105.25 90.00°
Closest atoms and distances in Å follow each position.
Fractional positions:
Sc1 0.5150 0.5151 0.0301  2 Br 2.64
In1 0.0024 0.0026 0.0048  4 Sc 3.24-3.25, 4 In 3.27-3.30, 4 Br 3.51-3.57
In2 0.7724 0.2722 0.5449  2 Sc 3.05, 4 In 3.27-3.30, 4 Br 3.31
Br1 0.2102 0.7101 0.4203  2 Sc 2.64

Output
**ΔE to the lowest computed polymorph**: 0 kJ/mol of formula units
**Formation energy from raw total energies**: -465 meV/atom
**E_tot**: -4.08 eV/atom
**Crystal system**: orthorhombic
**ρ**: 6.0 g/cm³
**Total moment**: 0.000 μB per atom

---

No. 13
Compound: ScInBr3
Source: Alexandria
Functional: PBEsol
Structure: optimized geometry

Cell: 5.5232 5.5232 5.5232 Å, 90.00 90.00 90.00°
Closest atoms and distances in Å follow each position.
Fractional positions:
Br1 0.0000 0.5000 0.0000  2 In 2.76
Br2 0.0000 0.0000 0.5000  2 In 2.76
Br3 0.5000 0.0000 0.0000  2 In 2.76
In1 0.0000 0.0000 0.0000  6 Br 2.76
Sc1 0.5000 0.5000 0.5000  12 Br 3.91

Output
**Formation energy from raw total energies**: -171 meV/atom
**E_tot**: -3.21 eV/atom
**Crystal system**: cubic
**ρ**: 3.9 g/cm³
**Total moment**: 0.338 μB per atom

---

No. 14
Compound: ScIn2Br
Source: Alexandria
Functional: PBEsol
Structure: optimized geometry

Cell: 3.1965 4.5551 7.4080 Å, 107.91 102.46 90.00°
Closest atoms and distances in Å follow each position.
Fractional positions:
In1 0.1980 0.1980 0.3961  6 In 3.13-3.20, 2 Sc 3.15
In2 0.8020 0.8020 0.6039  6 In 3.13-3.20, 2 Sc 3.15
Sc1 0.5000 0.0000 0.0000  4 Br 2.78
Br1 0.0000 0.5000 0.0000  4 Sc 2.78

Output
**ΔE to the lowest computed polymorph**: 12 kJ/mol of formula units
**Formation energy from raw total energies**: -433 meV/atom
**E_tot**: -4.04 eV/atom
**Crystal system**: orthorhombic
**ρ**: 5.9 g/cm³
**Total moment**: 0.002 μB per atom